Material: SmAg4Rh
Method: DFT, PBE-GGA
State: relaxed

Cell: 5.4805 5.4805 5.4805 Å, 60.00 60.00 60.00°
Positions (direct):
Rh  0.2500  0.2500  0.2500
Ag  0.6244  0.6244  0.1268
Ag  0.6244  0.1268  0.6244
Ag  0.6244  0.6244  0.6244
Ag  0.1268  0.6244  0.6244
Sm  0.0000  0.0000  0.0000

Fermi-level density of states in states/eV per atom: 0.41
Raw total energy in Ry/atom: -0.2931
Magnetization in μB/atom: 0.0000
Symmetry: No. 216
Crystal system: cubic
Density in kg/m³: 9768

=====

Material: Sm4Ag3Rh
Method: DFT, PBE-GGA
State: relaxed

Cell: 3.6267 3.6267 14.8602 Å, 90.00 90.00 90.00°
Positions (direct):
Rh  0.5000  0.5000  0.0000
Ag  0.5000  0.5000  0.2444
Ag  0.5000  0.5000  0.5000
Ag  0.5000  0.5000  0.7556
Sm  0.0000  0.0000  0.8879
Sm  0.0000  0.0000  0.1121
Sm  0.0000  0.0000  0.3706
Sm  0.0000  0.0000  0.6294

Fermi-level density of states in states/eV per atom: 0.73
Raw total energy in Ry/atom: -0.3483
Magnetization in μB/atom: 0.0000
Symmetry: No. 123
Crystal system: tetragonal
Density in kg/m³: 8733

=====

Material: Sm8Ag2Rh
Method: DFT, PBE-GGA
State: relaxed

Cell: 6.2121 8.9982 8.9982 Å, 129.74 103.08 103.08°
Positions (direct):
Sm  0.6515  0.3885  0.1564
Sm  0.6515  0.1564  0.3885
Sm  0.1414  0.2811  0.2811
Sm  0.9845  0.1985  0.8096
Sm  0.9845  0.8096  0.1985
Sm  0.7638  0.7345  0.7345
Sm  0.2860  0.8415  0.6104
Sm  0.2860  0.6104  0.8415
Ag  0.4837  0.7257  0.2862
Ag  0.4837  0.2862  0.7257
Rh  0.2829  0.0016  0.0016

Fermi-level density of states in states/eV per atom: 1.08
Magnetization in μB/atom: 0.0000
Symmetry: No. 8
Crystal system: monoclinic
Distance to the lowest polymorph of the same formula in eV per atom: 0.041
Density in kg/m³: 7720

=====

Material: Sm4Ag2Rh
Method: DFT, PBE-GGA
State: relaxed

Cell: 5.1280 5.1280 8.8348 Å, 73.13 73.13 60.00°
Positions (direct):
Sm  0.8796  0.8796  0.3611
Sm  0.1204  0.1204  0.6389
Sm  0.6285  0.6285  0.1146
Sm  0.3715  0.3715  0.8854
Ag  0.7545  0.7545  0.7366
Ag  0.2455  0.2455  0.2634
Rh  0.0000  0.0000  0.0000

Fermi-level density of states in states/eV per atom: 1.03
Raw total energy in Ry/atom: -0.3551
Magnetization in μB/atom: 0.0000
Symmetry: No. 166
Crystal system: trigonal
Density in kg/m³: 8060

=====

Material: Sm12AgRh6
Method: DFT, PBE-GGA
State: relaxed

Cell: 8.7163 8.7163 8.7163 Å, 109.47 109.47 109.47°
Positions (direct):
Sm  0.3032  0.1162  0.8129
Sm  0.3032  0.4903  0.1871
Sm  0.6968  0.5097  0.8129
Sm  0.6968  0.8838  0.1871
Sm  0.1162  0.8129  0.3032
Sm  0.4903  0.1871  0.3032
Sm  0.5097  0.8129  0.6968
Sm  0.8838  0.1871  0.6968
Sm  0.8129  0.3032  0.1162
Sm  0.1871  0.3032  0.4903
Sm  0.8129  0.6968  0.5097
Sm  0.1871  0.6968  0.8838
Ag  0.0000  0.0000  0.0000
Rh  0.3674  0.5000  0.8674
Rh  0.6326  0.5000  0.1326
Rh  0.5000  0.8674  0.3674
Rh  0.5000  0.1326  0.6326
Rh  0.8674  0.3674  0.5000
Rh  0.1326  0.6326  0.5000

Fermi-level density of states in states/eV per atom: 0.88
Magnetization in μB/atom: 0.0000
Symmetry: No. 204
Crystal system: cubic
Distance to the lowest polymorph of the same formula in eV per atom: 0.000
Density in kg/m³: 8240

=====

Material: Sm6Ag5Rh
Method: DFT, PBE-GGA
State: relaxed

Cell: 5.1803 7.3966 8.1860 Å, 90.00 71.55 90.00°
Positions (direct):
Rh  0.0000  0.0000  0.0000
Ag  0.6676  0.5000  0.6647
Ag  0.3233  0.0000  0.3535
Ag  0.0000  0.5000  0.0000
Ag  0.6767  0.0000  0.6465
Ag  0.3324  0.5000  0.3353
Sm  0.8415  0.7565  0.3171
Sm  0.8414  0.2435  0.3171
Sm  0.5000  0.2362  0.0000
Sm  0.5000  0.7638  0.0000
Sm  0.1586  0.7565  0.6829
Sm  0.1585  0.2435  0.6829

Fermi-level density of states in states/eV per atom: 0.81
Raw total energy in Ry/atom: -0.3319
Magnetization in μB/atom: 0.0000
Symmetry: No. 65
Crystal system: orthorhombic
Density in kg/m³: 8619

=====

Material: Sm4Ag5Rh2
Method: DFT, PBE-GGA
State: relaxed

Cell: 3.7739 7.4880 9.0912 Å, 94.87 90.00 90.00°
Positions (direct):
Sm  0.5000  0.7721  0.5641
Sm  0.5000  0.1892  0.8579
Sm  0.5000  0.2279  0.4359
Sm  0.5000  0.8108  0.1421
Ag  0.0000  0.5399  0.3233
Ag  0.0000  0.1795  0.1434
Ag  0.0000  0.5000  0.0000
Ag  0.0000  0.8205  0.8566
Ag  0.0000  0.4601  0.6767
Rh  0.0000  0.0740  0.6464
Rh  0.0000  0.9260  0.3536

Fermi-level density of states in states/eV per atom: 0.42
Raw total energy in Ry/atom: -0.3499
Magnetization in μB/atom: 0.0000
Symmetry: No. 10
Crystal system: monoclinic
Density in kg/m³: 8735

=====

Material: SmAgRh4
Method: DFT, PBE-GGA
State: relaxed

Cell: 5.2883 5.2883 5.2883 Å, 60.00 60.00 60.00°
Each line ends with the local moment (μB).
Positions (direct):
Rh  0.6253  0.6253  0.1240  0.06
Rh  0.6253  0.1240  0.6253  0.06
Rh  0.6253  0.6253  0.6253  0.06
Rh  0.1240  0.6253  0.6253  0.06
Ag  0.0000  0.0000  0.0000  0.00
Sm  0.2500  0.2500  0.2500  -0.01

Fermi-level density of states in states/eV per atom: 1.48
Raw total energy in Ry/atom: -0.4736
Magnetization in μB/atom: 0.0397
Symmetry: No. 216
Crystal system: cubic
Density in kg/m³: 10636

=====

Material: Sm5AgRh2
Method: DFT, PBE-GGA
State: relaxed

Cell: 7.8795 7.8795 8.7829 Å, 116.65 116.65 90.00°
Positions (direct):
Sm  0.5251  0.7026  0.7277
Sm  0.7974  0.9749  0.2723
Sm  0.0000  0.0000  0.0000
Sm  0.5000  0.5000  0.0000
Sm  0.2026  0.0251  0.7277
Sm  0.7026  0.2026  0.7277
Sm  0.0251  0.5251  0.7277
Sm  0.2974  0.7974  0.2723
Sm  0.9749  0.4749  0.2723
Sm  0.4749  0.2974  0.2723
Ag  0.7500  0.7500  0.5000
Ag  0.2500  0.2500  0.5000
Rh  0.1378  0.3622  0.0000
Rh  0.6378  0.1378  0.0000
Rh  0.3622  0.8622  0.0000
Rh  0.8622  0.6378  0.0000

Fermi-level density of states in states/eV per atom: 1.12
Raw total energy in Ry/atom: -0.4150
Magnetization in μB/atom: 0.0000
Symmetry: No. 140
Crystal system: tetragonal
Density in kg/m³: 8395

=====

Material: SmAgRh2
Method: DFT, PBE-GGA
State: relaxed

Cell: 4.0187 4.2461 4.2461 Å, 90.00 90.00 90.00°
Positions (direct):
Rh  0.0000  0.0000  0.5000
Rh  0.0000  0.5000  0.0000
Ag  0.5000  0.5000  0.5000
Sm  0.5000  0.0000  0.0000

Fermi-level density of states in states/eV per atom: 1.43
Raw total energy in Ry/atom: -0.4347
Magnetization in μB/atom: 0.0001
Symmetry: No. 123
Crystal system: tetragonal
Density in kg/m³: 10635

=====

Material: Sm12AgRh6
Method: DFT, PBE-GGA
State: relaxed

Cell: 8.4190 8.4190 8.4190 Å, 101.74 101.74 101.74°
Positions (direct):
Sm  0.8252  0.5831  0.4326
Sm  0.4326  0.8252  0.5831
Sm  0.5831  0.4326  0.8252
Sm  0.1748  0.4169  0.5674
Sm  0.5674  0.1748  0.4169
Sm  0.4169  0.5674  0.1748
Sm  0.0769  0.9323  0.3319
Sm  0.0677  0.6681  0.9231
Sm  0.6681  0.9231  0.0677
Sm  0.9231  0.0677  0.6681
Sm  0.9323  0.3319  0.0769
Sm  0.3319  0.0769  0.9323
Ag  0.0000  0.0000  0.0000
Rh  0.6917  0.8613  0.3852
Rh  0.6148  0.3083  0.1387
Rh  0.1387  0.6148  0.3083
Rh  0.3083  0.1387  0.6148
Rh  0.3852  0.6917  0.8613
Rh  0.8613  0.3852  0.6917

Fermi-level density of states in states/eV per atom: 0.67
Magnetization in μB/atom: 0.0000
Symmetry: No. 148
Crystal system: trigonal
Distance to the lowest polymorph of the same formula in eV per atom: 0.060
Density in kg/m³: 7595

=====

Material: Sm6AgRh3
Method: DFT, PBE-GGA
State: relaxed

Cell: 7.2253 8.9446 8.9446 Å, 104.92 90.00 90.00°
Positions (direct):
Sm  0.1637  0.7032  0.6372
Sm  0.6637  0.6372  0.7032
Sm  0.2279  0.4646  0.9001
Sm  0.7279  0.9001  0.4646
Sm  0.2703  0.0107  0.9893
Sm  0.6085  0.2303  0.7697
Sm  0.1085  0.7697  0.2303
Sm  0.7703  0.9893  0.0107
Sm  0.2279  0.0999  0.5354
Sm  0.7279  0.5354  0.0999
Sm  0.1637  0.3628  0.2968
Sm  0.6637  0.2968  0.3628
Ag  0.0007  0.1714  0.8286
Ag  0.5007  0.8286  0.1714
Rh  0.4683  0.9275  0.7064
Rh  0.9683  0.7064  0.9275
Rh  0.3862  0.4017  0.5983
Rh  0.8862  0.5983  0.4017
Rh  0.9683  0.0725  0.2936
Rh  0.4683  0.2936  0.0725

Fermi-level density of states in states/eV per atom: 0.80
Magnetization in μB/atom: 0.0000
Symmetry: No. 36
Crystal system: orthorhombic
Distance to the lowest polymorph of the same formula in eV per atom: 0.071
Density in kg/m³: 7841

=====

Material: Sm8Ag2Rh
Method: DFT, PBE-GGA
State: relaxed

Cell: 5.2813 6.9578 9.2884 Å, 104.68 106.52 90.00°
Positions (direct):
Sm  0.4113  0.5620  0.8227
Sm  0.6582  0.9716  0.3164
Sm  0.7994  0.6845  0.5988
Sm  0.9734  0.2133  0.9467
Sm  0.2006  0.3155  0.4012
Sm  0.3418  0.0284  0.6836
Sm  0.5887  0.4380  0.1773
Sm  0.0267  0.7867  0.0533
Ag  0.8135  0.2717  0.6269
Ag  0.1865  0.7283  0.3731
Rh  0.5000  0.0000  0.0000

Fermi-level density of states in states/eV per atom: 1.07
Magnetization in μB/atom: 0.0000
Symmetry: No. 12
Crystal system: monoclinic
Distance to the lowest polymorph of the same formula in eV per atom: 0.000
Density in kg/m³: 8005

=====

Material: Sm7AgRh4
Method: DFT, PBE-GGA
State: relaxed

Cell: 5.5546 8.5514 7.4141 Å, 74.99 68.00 71.05°
Positions (direct):
Sm  0.7931  0.8806  0.5333
Sm  0.2069  0.1194  0.4667
Sm  0.0776  0.6321  0.2128
Sm  0.9224  0.3679  0.7872
Sm  0.3240  0.6257  0.7263
Sm  0.5000  0.0000  0.0000
Sm  0.6760  0.3743  0.2737
Ag  0.0000  0.0000  0.0000
Rh  0.5670  0.2212  0.6447
Rh  0.4330  0.7788  0.3553
Rh  0.7045  0.6586  0.9324
Rh  0.2955  0.3414  0.0676

Fermi-level density of states in states/eV per atom: 0.70
Raw total energy in Ry/atom: -0.4295
Magnetization in μB/atom: 0.0000
Symmetry: No. 12
Crystal system: monoclinic
Density in kg/m³: 8558

=====

Material: Sm5Ag4Rh
Method: DFT, PBE-GGA
State: relaxed

Cell: 3.6363 3.6363 18.6492 Å, 90.00 90.00 90.00°
Positions (direct):
Sm  0.5000  0.5000  0.0890
Sm  0.5000  0.5000  0.2950
Sm  0.5000  0.5000  0.5000
Sm  0.5000  0.5000  0.7050
Sm  0.5000  0.5000  0.9110
Ag  0.0000  0.0000  0.1943
Ag  0.0000  0.0000  0.3977
Ag  0.0000  0.0000  0.6023
Ag  0.0000  0.0000  0.8057
Rh  0.0000  0.0000  0.0000

Fermi-level density of states in states/eV per atom: 0.77
Raw total energy in Ry/atom: -0.3382
Magnetization in μB/atom: 0.0000
Symmetry: No. 123
Crystal system: tetragonal
Density in kg/m³: 8661

=====

Material: Sm8AgRh2
Method: DFT, PBE-GGA
State: relaxed

Cell: 5.7672 7.9915 7.9915 Å, 115.41 98.91 98.91°
Positions (direct):
Sm  0.9246  0.9146  0.6643
Sm  0.9246  0.6643  0.9146
Sm  0.3134  0.6144  0.6144
Sm  0.5000  0.7638  0.2362
Sm  0.5000  0.2362  0.7638
Sm  0.6866  0.3856  0.3856
Sm  0.0754  0.3357  0.0854
Sm  0.0754  0.0854  0.3357
Ag  0.5000  0.0000  0.0000
Rh  0.0000  0.2921  0.7079
Rh  0.0000  0.7079  0.2921

Fermi-level density of states in states/eV per atom: 1.19
Raw total energy in Ry/atom: -0.3883
Magnetization in μB/atom: 0.0000
Symmetry: No. 12
Crystal system: monoclinic
Density in kg/m³: 7909

=====

Material: Sm3AgRh2
Method: DFT, PBE-GGA
State: relaxed

Cell: 3.5243 3.5243 11.0591 Å, 90.00 90.00 90.00°
Positions (direct):
Sm  0.0000  0.0000  0.0000
Sm  0.0000  0.0000  0.6889
Sm  0.0000  0.0000  0.3111
Ag  0.5000  0.5000  0.5000
Rh  0.5000  0.5000  0.8381
Rh  0.5000  0.5000  0.1619

Fermi-level density of states in states/eV per atom: 0.83
Raw total energy in Ry/atom: -0.4317
Magnetization in μB/atom: 0.0000
Symmetry: No. 123
Crystal system: tetragonal
Density in kg/m³: 9245

=====

Material: Sm8Ag2Rh3
Method: DFT, PBE-GGA
State: relaxed

Cell: 4.9438 10.0691 8.8243 Å, 124.82 90.00 90.00°
Positions (direct):
Sm  0.0000  0.6156  0.2302
Sm  0.0000  0.3844  0.7698
Sm  0.0000  0.1174  0.2338
Sm  0.0000  0.8826  0.7662
Sm  0.5000  0.6369  0.7680
Sm  0.5000  0.1299  0.7670
Sm  0.5000  0.8701  0.2330
Sm  0.5000  0.3631  0.2320
Ag  0.5000  0.2554  0.5109
Ag  0.5000  0.7446  0.4891
Rh  0.5000  0.0000  0.0000
Rh  0.0000  0.2526  0.9998
Rh  0.0000  0.7474  0.0002

Fermi-level density of states in states/eV per atom: 1.22
Raw total energy in Ry/atom: -0.3958
Magnetization in μB/atom: 0.0000
Symmetry: No. 10
Crystal system: monoclinic
Density in kg/m³: 7954

=====

Material: Sm2AgSn3Rh4
Method: DFT, PBE-GGA
State: relaxed

Cell: 4.2084 4.2084 11.8950 Å, 90.00 90.00 90.00°
Positions (direct):
Sm  0.5000  0.0000  0.2670
Sm  0.0000  0.5000  0.7330
Ag  0.5000  0.5000  0.5000
Sn  0.0000  0.0000  0.5000
Sn  0.5000  0.0000  0.8707
Sn  0.0000  0.5000  0.1293
Rh  0.5000  0.5000  0.0000
Rh  0.0000  0.0000  0.0000
Rh  0.5000  0.0000  0.6529
Rh  0.0000  0.5000  0.3471

Fermi-level density of states in states/eV per atom: 0.40
Raw total energy in Ry/atom: -0.4383
Magnetization in μB/atom: 0.0000
Symmetry: No. 115
Crystal system: tetragonal
Density in kg/m³: 9272

=====

Material: SrSmAgRh
Method: DFT, PBE-GGA
State: relaxed

Cell: 5.1748 5.1748 5.1748 Å, 60.00 60.00 60.00°
Positions (direct):
Sr  0.5000  0.5000  0.5000
Rh  0.7500  0.7500  0.7500
Ag  0.2500  0.2500  0.2500
Sm  0.0000  0.0000  0.0000

Fermi-level density of states in states/eV per atom: 0.53
Raw total energy in Ry/atom: -0.3280
Magnetization in μB/atom: 0.0000
Symmetry: No. 216
Crystal system: cubic
Density in kg/m³: 7605

=====

Material: TbSmAgRh
Method: DFT, PBE-GGA
State: relaxed

Cell: 5.0482 5.0482 5.0482 Å, 60.00 60.00 60.00°
Positions (direct):
Rh  0.7500  0.7500  0.7500
Tb  0.0000  0.0000  0.0000
Ag  0.2500  0.2500  0.2500
Sm  0.5000  0.5000  0.5000

Fermi-level density of states in states/eV per atom: 0.89
Magnetization in μB/atom: 0.0000
Symmetry: No. 216
Crystal system: cubic
Distance to the lowest polymorph of the same formula in eV per atom: 0.025
Density in kg/m³: 9493

=====

Material: TbSmAgRh
Method: DFT, PBE-GGA
State: relaxed

Cell: 3.5503 3.5503 7.2677 Å, 90.00 90.00 90.00°
Positions (direct):
Tb  0.0000  0.0000  0.3770
Sm  0.0000  0.0000  0.8358
Ag  0.5000  0.5000  0.1155
Rh  0.5000  0.5000  0.5997

Fermi-level density of states in states/eV per atom: 0.91
Magnetization in μB/atom: 0.0000
Symmetry: No. 99
Crystal system: tetragonal
Distance to the lowest polymorph of the same formula in eV per atom: 0.000
Density in kg/m³: 9427